Density functional theory data (PBEsol) for a relaxed structure of CaY2Hg2.

Lattice parameters (Å, degrees): 3.7780 8.4273 8.4273 90.00 90.00 90.00
Positions (direct):
1 Ca 0.0000 0.0000 0.0000
2 Ca 0.0000 0.5000 0.5000
3 Hg 0.0000 0.6344 0.1344
4 Hg 0.0000 0.3656 0.8656
5 Hg 0.0000 0.1344 0.3656
6 Hg 0.0000 0.8656 0.6344
7 Y 0.5000 0.3376 0.1624
8 Y 0.5000 0.1624 0.6624
9 Y 0.5000 0.6624 0.8376
10 Y 0.5000 0.8376 0.3376

Output
* DFT formation energy: -496 meV per atom